Crystalline Tb4Sb3Te at its relaxed geometry, computed with GGA-PBE.

* energy relative to the elements, uncorrected: -1.2190 eV/atom
* ΔE to the lowest computed polymorph: 9 meV per atom
* space group: Pm-3m, No. 221
* mass density: 7.8 g cm⁻³

The structure in POSCAR format:
```
Tb4Sb3Te
1.0
6.213 0.000 0.000
0.000 6.213 0.000
0.000 0.000 6.213
Te Tb Sb
1 4 3
direct
0.000 0.000 0.000 Te
0.000 0.000 0.500 Tb
0.500 0.500 0.500 Tb
0.500 0.000 0.000 Tb
0.000 0.500 0.000 Tb
0.500 0.000 0.500 Sb
0.500 0.500 0.000 Sb
0.000 0.500 0.500 Sb
```